# PBE AlFeHgOs, relaxed
# **Magnetic moment**: 0.66 μB/atom
# **Crystal system**: cubic
# **Density**: 12.86 g/cm3
data_AlFeHgOs
_symmetry_space_group_name_H-M 'F -4 3 m'
_symmetry_Int_Tables_number 216
_symmetry_space_group_name_Hall 'F -4 2 3'
_cell_length_a 6.254
_cell_length_b 6.254
_cell_length_c 6.254
_cell_angle_alpha 90.00
_cell_angle_beta 90.00
_cell_angle_gamma 90.00
loop_
_atom_site_label
_atom_site_fract_x
_atom_site_fract_y
_atom_site_fract_z
Al1 0.000 0.000 0.000
Fe1 0.250 0.250 0.250
Hg1 0.000 0.000 0.500
Os1 0.250 0.250 0.750


# PBE AlFeHgOs, relaxed
# **Magnetic moment**: 0.75 μB/atom
# **Crystal system**: cubic
# **Density**: 12.74 g/cm3
data_AlFeHgOs
_symmetry_space_group_name_H-M 'F -4 3 m'
_symmetry_Int_Tables_number 216
_symmetry_space_group_name_Hall 'F -4 2 3'
_cell_length_a 6.273
_cell_length_b 6.273
_cell_length_c 6.273
_cell_angle_alpha 90.00
_cell_angle_beta 90.00
_cell_angle_gamma 90.00
loop_
_atom_site_label
_atom_site_fract_x
_atom_site_fract_y
_atom_site_fract_z
Al1 0.000 0.000 0.000
Fe1 0.250 0.250 0.250
Hg1 0.250 0.250 0.750
Os1 0.000 0.000 0.500


# PBE AlFeHgPd, relaxed
# **Magnetic moment**: 0.59 μB/atom
# **Crystal system**: cubic
# **Density**: 10.32 g/cm3
data_AlFeHgPd
_symmetry_space_group_name_H-M 'F -4 3 m'
_symmetry_Int_Tables_number 216
_symmetry_space_group_name_Hall 'F -4 2 3'
_cell_length_a 6.308
_cell_length_b 6.308
_cell_length_c 6.308
_cell_angle_alpha 90.00
_cell_angle_beta 90.00
_cell_angle_gamma 90.00
loop_
_atom_site_label
_atom_site_fract_x
_atom_site_fract_y
_atom_site_fract_z
Al1 0.000 0.000 0.000
Fe1 0.250 0.250 0.250
Hg1 0.000 0.000 0.500
Pd1 0.250 0.250 0.750


# PBE AlFeTcHg, relaxed
# **Magnetic moment**: 0.74 μB/atom
# **Crystal system**: cubic
# **Density**: 10.27 g/cm3
data_AlFeTcHg
_symmetry_space_group_name_H-M 'F -4 3 m'
_symmetry_Int_Tables_number 216
_symmetry_space_group_name_Hall 'F -4 2 3'
_cell_length_a 6.271
_cell_length_b 6.271
_cell_length_c 6.271
_cell_angle_alpha 90.00
_cell_angle_beta 90.00
_cell_angle_gamma 90.00
loop_
_atom_site_label
_atom_site_fract_x
_atom_site_fract_y
_atom_site_fract_z
Al1 0.000 0.000 0.000
Fe1 0.250 0.250 0.250
Tc1 0.250 0.250 0.750
Hg1 0.000 0.000 0.500


# PBE AlFeTcHg, relaxed
# **Magnetic moment**: 0.60 μB/atom
# **Crystal system**: cubic
# **Density**: 10.24 g/cm3
data_AlFeTcHg
_symmetry_space_group_name_H-M 'F -4 3 m'
_symmetry_Int_Tables_number 216
_symmetry_space_group_name_Hall 'F -4 2 3'
_cell_length_a 6.277
_cell_length_b 6.277
_cell_length_c 6.277
_cell_angle_alpha 90.00
_cell_angle_beta 90.00
_cell_angle_gamma 90.00
loop_
_atom_site_label
_atom_site_fract_x
_atom_site_fract_y
_atom_site_fract_z
Al1 0.000 0.000 0.000
Fe1 0.250 0.250 0.250
Tc1 0.000 0.000 0.500
Hg1 0.250 0.250 0.750


# PBE AlFeHgW, relaxed
# **Magnetic moment**: 0.73 μB/atom
# **Crystal system**: cubic
# **Density**: 12.17 g/cm3
data_AlFeHgW
_symmetry_space_group_name_H-M 'F -4 3 m'
_symmetry_Int_Tables_number 216
_symmetry_space_group_name_Hall 'F -4 2 3'
_cell_length_a 6.342
_cell_length_b 6.342
_cell_length_c 6.342
_cell_angle_alpha 90.00
_cell_angle_beta 90.00
_cell_angle_gamma 90.00
loop_
_atom_site_label
_atom_site_fract_x
_atom_site_fract_y
_atom_site_fract_z
Al1 0.000 0.000 0.000
Fe1 0.250 0.250 0.250
Hg1 0.000 0.000 0.500
W1 0.250 0.250 0.750


| no. | final energy (eV/atom) |
| --- | --- |
| 1 | -5.48 |
| 2 | -5.40 |
| 3 | -4.42 |
| 4 | -5.34 |
| 5 | -5.29 |
| 6 | -5.68 |